[1]
# K2In2S3, optimized geometry, DFT PBE
data_K2In2S3
_chemical_formula_sum 'K4 In4 S6'
_cell_length_a 14.953
_cell_length_b 4.218
_cell_length_c 7.598
_cell_angle_alpha 90.00
_cell_angle_beta 111.31
_cell_angle_gamma 90.00
_symmetry_space_group_name_H-M 'C 1 2/m 1'
_symmetry_Int_Tables_number 12
loop_
_symmetry_equiv_pos_as_xyz
'x,y,z'
'-x,-y,-z'
'-x,y,-z'
'x,-y,z'
'x+1/2,y+1/2,z'
'-x+1/2,-y+1/2,-z'
'-x+1/2,y+1/2,-z'
'x+1/2,-y+1/2,z'
loop_
_atom_site_label
_atom_site_type_symbol
_atom_site_fract_x
_atom_site_fract_y
_atom_site_fract_z
K1 K 0.111 0.000 0.350
In1 In 0.153 0.500 0.821
S1 S 0.000 0.500 0.500
S2 S 0.236 0.500 0.203
# - Size of the total moment: 0.000 μB/atom
# - Uncorrected formation energy: -761 meV/atom

---

[2]
# Pm3PuTe4, optimized geometry, DFT PBE
data_Pm3PuTe4
_chemical_formula_sum 'Pm6 Pu2 Te8'
_cell_length_a 8.969
_cell_length_b 12.598
_cell_length_c 4.431
_cell_angle_alpha 90.00
_cell_angle_beta 90.00
_cell_angle_gamma 90.00
_symmetry_space_group_name_H-M 'C m m m'
_symmetry_Int_Tables_number 65
_symmetry_space_group_name_Hall '-C 2 2'
loop_
_atom_site_label
_atom_site_type_symbol
_atom_site_fract_x
_atom_site_fract_y
_atom_site_fract_z
Pm1 Pm 0.000 0.000 0.000
Pm2 Pm 0.250 0.250 0.500
Pu1 Pu 0.000 0.500 0.000
Te1 Te 0.000 0.251 0.000
Te2 Te 0.247 0.500 0.500
# - Size of the total moment: 0.749 μB/atom
# - Uncorrected formation energy: -1345 meV/atom

---

[3]
# ZrTiIr, optimized geometry, DFT PBE
data_ZrTiIr
_chemical_formula_sum 'Zr4 Ti4 Ir4'
_cell_length_a 6.275
_cell_length_b 6.275
_cell_length_c 6.275
_cell_angle_alpha 90.00
_cell_angle_beta 90.00
_cell_angle_gamma 90.00
_symmetry_space_group_name_H-M 'F -4 3 m'
_symmetry_Int_Tables_number 216
_symmetry_space_group_name_Hall 'F -4 2 3'
loop_
_atom_site_label
_atom_site_type_symbol
_atom_site_fract_x
_atom_site_fract_y
_atom_site_fract_z
Zr1 Zr 0.000 0.000 0.000
Ti1 Ti 0.000 0.000 0.500
Ir1 Ir 0.250 0.250 0.250
# - DFT formation energy: -457 meV per atom
# - Size of the total moment: 0.000 μB/atom

---

[4]
# KLiSb2Te, optimized geometry, DFT PBE
data_KLiSb2Te
_chemical_formula_sum 'K1 Li1 Sb2 Te1'
_cell_length_a 5.931
_cell_length_b 5.931
_cell_length_c 6.054
_cell_angle_alpha 90.00
_cell_angle_beta 90.00
_cell_angle_gamma 90.00
_symmetry_space_group_name_H-M 'P 4/m m m'
_symmetry_Int_Tables_number 123
_symmetry_space_group_name_Hall '-P 4 2'
loop_
_atom_site_label
_atom_site_type_symbol
_atom_site_fract_x
_atom_site_fract_y
_atom_site_fract_z
K1 K 0.000 0.000 0.000
Li1 Li 0.500 0.500 0.500
Sb1 Sb 0.000 0.500 0.000
Te1 Te 0.000 0.000 0.500
# - Size of the total moment: 0.000 μB/atom
# - Uncorrected formation energy: 797 meV/atom

---

[5]
# CsBaHF2, optimized geometry, DFT PBE
data_CsBaHF2
_chemical_formula_sum 'Cs1 Ba1 H1 F2'
_cell_length_a 5.127
_cell_length_b 5.127
_cell_length_c 5.231
_cell_angle_alpha 90.00
_cell_angle_beta 90.00
_cell_angle_gamma 90.00
_symmetry_space_group_name_H-M 'P 4/m m m'
_symmetry_Int_Tables_number 123
_symmetry_space_group_name_Hall '-P 4 2'
loop_
_atom_site_label
_atom_site_type_symbol
_atom_site_fract_x
_atom_site_fract_y
_atom_site_fract_z
Cs1 Cs 0.000 0.000 0.000
Ba1 Ba 0.500 0.500 0.500
H1 H 0.500 0.500 0.000
F1 F 0.000 0.500 0.500
# - Size of the total moment: 0.000 μB/atom
# - E_tot: -4.291 eV per atom

---

[6]
# LiSm4In, optimized geometry, DFT PBE
data_LiSm4In
_chemical_formula_sum 'Li4 Sm16 In4'
_cell_length_a 8.825
_cell_length_b 14.663
_cell_length_c 5.823
_cell_angle_alpha 90.00
_cell_angle_beta 110.02
_cell_angle_gamma 90.00
_symmetry_space_group_name_H-M 'C 1 2/c 1'
_symmetry_Int_Tables_number 15
loop_
_symmetry_equiv_pos_as_xyz
'x,y,z'
'-x,-y,-z'
'-x,y,-z+1/2'
'x,-y,z+1/2'
'x+1/2,y+1/2,z'
'-x+1/2,-y+1/2,-z'
'-x+1/2,y+1/2,-z+1/2'
'x+1/2,-y+1/2,z+1/2'
loop_
_atom_site_label
_atom_site_type_symbol
_atom_site_fract_x
_atom_site_fract_y
_atom_site_fract_z
Li1 Li 0.000 0.001 0.250
Sm1 Sm 0.103 0.197 0.560
Sm2 Sm 0.196 0.410 0.854
In1 In 0.000 0.389 0.250
# - DFT formation energy: -53 meV per atom
# - Size of the total moment: 0.000 μB/atom

---

[7]
# Mg2CdSeS2, optimized geometry, DFT PBE
data_Mg2CdSeS2
_chemical_formula_sum 'Mg8 Cd4 Se4 S8'
_cell_length_a 12.497
_cell_length_b 7.192
_cell_length_c 6.724
_cell_angle_alpha 90.00
_cell_angle_beta 90.00
_cell_angle_gamma 90.00
_symmetry_space_group_name_H-M 'C m c 21'
_symmetry_Int_Tables_number 36
loop_
_symmetry_equiv_pos_as_xyz
'x,y,z'
'-x,-y,z+1/2'
'-x,y,z'
'x,-y,z+1/2'
'x+1/2,y+1/2,z'
'-x+1/2,-y+1/2,z+1/2'
'-x+1/2,y+1/2,z'
'x+1/2,-y+1/2,z+1/2'
loop_
_atom_site_label
_atom_site_type_symbol
_atom_site_fract_x
_atom_site_fract_y
_atom_site_fract_z
Mg1 Mg 0.174 0.159 0.000
Cd1 Cd 0.000 0.321 0.517
Se1 Se 0.000 0.320 0.118
S1 S 0.174 0.161 0.632
# - Size of the total moment: 0.000 μB/atom
# - Uncorrected formation energy: -1129 meV/atom

---

[8]
# Sr5NdIn6, optimized geometry, DFT PBE
data_Sr5NdIn6
_chemical_formula_sum 'Sr10 Nd2 In12'
_cell_length_a 18.087
_cell_length_b 8.025
_cell_length_c 5.730
_cell_angle_alpha 90.00
_cell_angle_beta 108.33
_cell_angle_gamma 90.00
_symmetry_space_group_name_H-M 'C 1 2/m 1'
_symmetry_Int_Tables_number 12
loop_
_symmetry_equiv_pos_as_xyz
'x,y,z'
'-x,-y,-z'
'-x,y,-z'
'x,-y,z'
'x+1/2,y+1/2,z'
'-x+1/2,-y+1/2,-z'
'-x+1/2,y+1/2,-z'
'x+1/2,-y+1/2,z'
loop_
_atom_site_label
_atom_site_type_symbol
_atom_site_fract_x
_atom_site_fract_y
_atom_site_fract_z
Sr1 Sr 0.000 0.000 0.000
Sr2 Sr 0.161 0.000 0.661
Sr3 Sr 0.178 0.500 0.677
Nd1 Nd 0.000 0.500 0.000
In1 In 0.000 0.277 0.500
In2 In 0.161 0.268 0.160
# - DFT formation energy: -434 meV per atom
# - Size of the total moment: 0.000 μB/atom

---

[9]
# CsTl2Cd7, optimized geometry, DFT PBE
data_CsTl2Cd7
_chemical_formula_sum 'Cs2 Tl4 Cd14'
_cell_length_a 7.395
_cell_length_b 23.317
_cell_length_c 3.503
_cell_angle_alpha 90.00
_cell_angle_beta 90.00
_cell_angle_gamma 90.00
_symmetry_space_group_name_H-M 'C m m m'
_symmetry_Int_Tables_number 65
_symmetry_space_group_name_Hall '-C 2 2'
loop_
_atom_site_label
_atom_site_type_symbol
_atom_site_fract_x
_atom_site_fract_y
_atom_site_fract_z
Cs1 Cs 0.000 0.000 0.000
Tl1 Tl 0.000 0.263 0.500
Cd1 Cd 0.000 0.397 0.000
Cd2 Cd 0.000 0.500 0.500
Cd3 Cd 0.194 0.141 0.500
# - DFT formation energy: 51 meV per atom
# - Size of the total moment: 0.000 μB/atom

---

[10]
# Sm14ThTl, optimized geometry, DFT PBE
data_Sm14ThTl
_chemical_formula_sum 'Sm28 Th2 Tl2'
_cell_length_a 10.194
_cell_length_b 10.158
_cell_length_c 10.157
_cell_angle_alpha 90.00
_cell_angle_beta 90.00
_cell_angle_gamma 90.00
_symmetry_space_group_name_H-M 'A m m 2'
_symmetry_Int_Tables_number 38
loop_
_symmetry_equiv_pos_as_xyz
'x,y,z'
'-x,-y,z'
'-x,y,z'
'x,-y,z'
'x,y+1/2,z+1/2'
'-x,-y+1/2,z+1/2'
'-x,y+1/2,z+1/2'
'x,-y+1/2,z+1/2'
loop_
_atom_site_label
_atom_site_type_symbol
_atom_site_fract_x
_atom_site_fract_y
_atom_site_fract_z
Sm1 Sm 0.000 0.000 0.000
Sm2 Sm 0.000 0.000 0.500
Sm3 Sm 0.000 0.250 0.250
Sm4 Sm 0.254 0.000 0.252
Sm5 Sm 0.255 0.000 0.748
Sm6 Sm 0.255 0.248 0.500
Sm7 Sm 0.500 0.249 0.250
Th1 Th 0.500 0.000 0.500
Tl1 Tl 0.500 0.000 0.000
# - DFT formation energy: -5 meV per atom
# - Size of the total moment: 0.000 μB/atom

---

[11]
# AgAsOs2, optimized geometry, DFT PBE
data_AgAsOs2
_chemical_formula_sum 'Ag1 As1 Os2'
_cell_length_a 3.018
_cell_length_b 3.018
_cell_length_c 6.743
_cell_angle_alpha 90.00
_cell_angle_beta 90.00
_cell_angle_gamma 90.00
_symmetry_space_group_name_H-M 'P 4/m m m'
_symmetry_Int_Tables_number 123
_symmetry_space_group_name_Hall '-P 4 2'
loop_
_atom_site_label
_atom_site_type_symbol
_atom_site_fract_x
_atom_site_fract_y
_atom_site_fract_z
Ag1 Ag 0.000 0.000 0.000
As1 As 0.000 0.000 0.500
Os1 Os 0.500 0.500 0.289
# - DFT formation energy: 672 meV per atom
# - Size of the total moment: 0.000 μB/atom